No. 1
# MgWI3 | Alexandria via LeMat-Bulk | meta-GGA SCAN | single point on PBEsol structure
# M_tot   5.0 Bohr magnetons per cell
# DOS at the Fermi energy   7.6 states/eV/f.u.
# E_form (uncorrected)   0.872 eV/atom
data_MgWI3
_symmetry_space_group_name_H-M 'P m -3 m'
_symmetry_Int_Tables_number 221
_symmetry_space_group_name_Hall '-P 4 2 3'
_cell_length_a 5.544
_cell_length_b 5.544
_cell_length_c 5.544
_cell_angle_alpha 90.00
_cell_angle_beta 90.00
_cell_angle_gamma 90.00
loop_
_atom_site_label
_atom_site_type_symbol
_atom_site_fract_x
_atom_site_fract_y
_atom_site_fract_z
Mg1 Mg 0.000 0.000 0.000
W1 W 0.500 0.500 0.500
I1 I 0.000 0.000 0.500



No. 2
# CrB2Ir | Alexandria via LeMat-Bulk | meta-GGA SCAN | single point on PBEsol structure
# M_tot   10.2 Bohr magnetons per cell
# DOS at the Fermi energy   1.1 states/eV/f.u.
# Formation energy from the elements   -0.033 eV per atom
data_CrB2Ir
_symmetry_space_group_name_H-M 'F m -3 m'
_symmetry_Int_Tables_number 225
_symmetry_space_group_name_Hall '-F 4 2 3'
_cell_length_a 5.319
_cell_length_b 5.319
_cell_length_c 5.319
_cell_angle_alpha 90.00
_cell_angle_beta 90.00
_cell_angle_gamma 90.00
loop_
_atom_site_label
_atom_site_type_symbol
_atom_site_fract_x
_atom_site_fract_y
_atom_site_fract_z
Cr1 Cr 0.000 0.000 0.000
B1 B 0.250 0.250 0.250
Ir1 Ir 0.000 0.000 0.500



No. 3
# Rb2BaGeW | Alexandria via LeMat-Bulk | meta-GGA SCAN | single point on PBEsol structure
# M_tot   5.1 Bohr magnetons per cell
# DOS at the Fermi energy   3.0 states/eV/f.u.
# Formation energy from the elements   1.911 eV per atom
data_Rb2BaGeW
_symmetry_space_group_name_H-M 'P 4/m m m'
_symmetry_Int_Tables_number 123
_symmetry_space_group_name_Hall '-P 4 2'
_cell_length_a 7.103
_cell_length_b 7.103
_cell_length_c 5.502
_cell_angle_alpha 90.00
_cell_angle_beta 90.00
_cell_angle_gamma 90.00
loop_
_atom_site_label
_atom_site_type_symbol
_atom_site_fract_x
_atom_site_fract_y
_atom_site_fract_z
Rb1 Rb 0.000 0.500 0.000
Ba1 Ba 0.000 0.000 0.000
Ge1 Ge 0.000 0.000 0.500
W1 W 0.500 0.500 0.500



No. 4
# Ba2MoOs | Alexandria via LeMat-Bulk | meta-GGA SCAN | single point on PBEsol structure
# M_tot   0.0 Bohr magnetons per cell
# DOS at the Fermi energy   7.1 states/eV/f.u.
# Formation energy from the elements   1.532 eV per atom
data_Ba2MoOs
_symmetry_space_group_name_H-M 'F -4 3 m'
_symmetry_Int_Tables_number 216
_symmetry_space_group_name_Hall 'F -4 2 3'
_cell_length_a 7.219
_cell_length_b 7.219
_cell_length_c 7.219
_cell_angle_alpha 90.00
_cell_angle_beta 90.00
_cell_angle_gamma 90.00
loop_
_atom_site_label
_atom_site_type_symbol
_atom_site_fract_x
_atom_site_fract_y
_atom_site_fract_z
Ba1 Ba 0.000 0.000 0.000
Ba2 Ba 0.250 0.250 0.250
Mo1 Mo 0.250 0.250 0.750
Os1 Os 0.000 0.000 0.500



No. 5
# Pt2Au | Alexandria via LeMat-Bulk | meta-GGA SCAN | single point on PBEsol structure
# M_tot   0.5 Bohr magnetons per cell
# DOS at the Fermi energy   3.8 states/eV/f.u.
# Energy relative to the lowest polymorph listed for this composition   0.017 eV/atom
# Formation energy from the elements   0.095 eV per atom
data_Pt2Au
_symmetry_space_group_name_H-M 'I 4/m m m'
_symmetry_Int_Tables_number 139
_symmetry_space_group_name_Hall '-I 4 2'
_cell_length_a 2.798
_cell_length_b 2.798
_cell_length_c 11.956
_cell_angle_alpha 90.00
_cell_angle_beta 90.00
_cell_angle_gamma 90.00
loop_
_atom_site_label
_atom_site_type_symbol
_atom_site_fract_x
_atom_site_fract_y
_atom_site_fract_z
Pt1 Pt 0.000 0.000 0.170
Au1 Au 0.000 0.000 0.500



No. 6
# La3CuAu | Alexandria via LeMat-Bulk | meta-GGA SCAN | single point on PBEsol structure
# M_tot   0.0 Bohr magnetons per cell
# DOS at the Fermi energy   10.2 states/eV/f.u.
# Formation energy from the elements   0.134 eV per atom
data_La3CuAu
_symmetry_space_group_name_H-M 'P m -3 m'
_symmetry_Int_Tables_number 221
_symmetry_space_group_name_Hall '-P 4 2 3'
_cell_length_a 5.696
_cell_length_b 5.696
_cell_length_c 5.696
_cell_angle_alpha 90.00
_cell_angle_beta 90.00
_cell_angle_gamma 90.00
loop_
_atom_site_label
_atom_site_type_symbol
_atom_site_fract_x
_atom_site_fract_y
_atom_site_fract_z
La1 La 0.000 0.000 0.500
Cu1 Cu 0.500 0.500 0.500
Au1 Au 0.000 0.000 0.000